Below is a relaxed structure of Li3VF7, with properties calculated at the PBE+U level.

Calculated values
Space-group type   No. 8
Total magnetization   1.0 Bohr magnetons per cell
Electronic total energy   -56.9 eV per cell
Polymorph energy (0 for the lowest one)   42 meV/atom

Unit cell a=5.0143 b=5.0143 c=5.4044 alpha=71.13 beta=71.13 gamma=98.12
Closest atoms and distances in Å follow each position.
Atoms (fractional coordinates):
Li1 0.4592 0.4592 0.1088  5 F 1.92-2.06
Li2 0.7799 0.2659 0.4745  6 F 2.06-2.21
F1 0.3330 0.0135 0.7186  1 V 1.94, 2 Li 2.10-2.14
F2 0.6535 0.1222 0.1853  1 V 1.95, 3 Li 2.06-2.15
F3 0.7904 0.7904 0.8128  1 V 1.89, 1 Li 1.96
F4 0.1222 0.6535 0.1853  1 V 1.95, 3 Li 2.06-2.15
V1 0.9585 0.9585 0.0137  7 F 1.89-2.07
Li3 0.2659 0.7799 0.4745  6 F 2.06-2.21
F5 0.1345 0.1345 0.2156  1 Li 1.92, 1 V 1.94
F6 0.6144 0.6144 0.3422  3 Li 1.98-2.06, 1 V 2.07
F7 0.0135 0.3330 0.7186  1 V 1.94, 2 Li 2.10-2.14